Entry 1:
{"formula": "BaSr2Al2", "functional": "PBE", "state": "optimized geometry", "lattice_angstrom": [[2.288, -12.986, 0.000], [2.288, 12.986, 0.000], [0.000, 0.000, 6.778]], "species": ["Ba", "Ba", "Sr", "Sr", "Sr", "Sr", "Al", "Al", "Al", "Al"], "fractional_positions": [[0.100, 0.900, 0.500], [0.900, 0.100, 0.000], [0.274, 0.726, 0.245], [0.443, 0.557, 0.503], [0.557, 0.443, 0.003], [0.726, 0.274, 0.745], [0.155, 0.845, 0.019], [0.327, 0.673, 0.722], [0.673, 0.327, 0.222], [0.845, 0.155, 0.519]], "e_above_lowest_polymorph_mev_per_atom": 0}

Entry 2:
{"formula": "BaSr2Al2", "functional": "PBE", "state": "optimized geometry", "lattice_angstrom": [[9.757, 0.000, 0.000], [0.000, 9.757, 0.000], [0.000, 0.000, 3.687]], "species": ["Ba", "Ba", "Sr", "Sr", "Sr", "Sr", "Al", "Al", "Al", "Al"], "fractional_positions": [[0.000, 0.000, 0.000], [0.500, 0.500, 0.000], [0.129, 0.371, 0.000], [0.371, 0.871, 0.000], [0.629, 0.129, 0.000], [0.871, 0.629, 0.000], [0.169, 0.669, 0.500], [0.331, 0.169, 0.500], [0.669, 0.831, 0.500], [0.831, 0.331, 0.500]], "e_above_lowest_polymorph_mev_per_atom": 97}

Entry 3:
{"formula": "BaSr2Al", "functional": "PBE", "state": "optimized geometry", "lattice_angstrom": [[-2.077, 3.176, 6.757], [2.077, -3.176, 6.757], [2.077, 3.176, -6.757]], "species": ["Ba", "Sr", "Sr", "Al"], "fractional_positions": [[0.000, 0.000, 0.000], [0.306, 0.806, 0.500], [0.694, 0.194, 0.500], [0.500, 0.500, 0.000]], "final_energy_ev_per_atom": -2.276}

Entry 4:
{"formula": "BaSr2Al2", "functional": "PBE", "state": "optimized geometry", "lattice_angstrom": [[-2.689, 2.689, 6.817], [2.689, -2.689, 6.817], [2.689, 2.689, -6.817]], "species": ["Ba", "Sr", "Sr", "Al", "Al"], "fractional_positions": [[0.000, 0.000, 0.000], [0.250, 0.750, 0.500], [0.750, 0.250, 0.500], [0.406, 0.406, 0.000], [0.594, 0.594, 0.000]], "e_above_lowest_polymorph_mev_per_atom": 101}

Entry 5:
{"formula": "BaSr4Al4", "functional": "PBE", "state": "optimized geometry", "lattice_angstrom": [[10.534, 0.000, 0.000], [0.000, 10.534, 0.000], [0.000, 0.000, 6.643]], "species": ["Ba", "Ba", "Sr", "Sr", "Sr", "Sr", "Sr", "Sr", "Sr", "Sr", "Al", "Al", "Al", "Al", "Al", "Al", "Al", "Al"], "fractional_positions": [[0.250, 0.250, 0.250], [0.750, 0.750, 0.750], [0.089, 0.652, 0.120], [0.152, 0.911, 0.620], [0.348, 0.589, 0.620], [0.411, 0.848, 0.120], [0.589, 0.152, 0.880], [0.652, 0.411, 0.380], [0.848, 0.089, 0.380], [0.911, 0.348, 0.880], [0.031, 0.593, 0.614], [0.093, 0.969, 0.114], [0.407, 0.531, 0.114], [0.469, 0.907, 0.614], [0.531, 0.093, 0.386], [0.593, 0.469, 0.886], [0.907, 0.031, 0.886], [0.969, 0.407, 0.386]], "final_energy_ev_per_atom": -2.612}

Entry 6:
{"formula": "BaSr2Al", "functional": "PBE", "state": "optimized geometry", "lattice_angstrom": [[4.250, 0.000, 0.000], [0.000, 5.439, 0.000], [-1.608, 0.000, 7.581]], "species": ["Ba", "Sr", "Sr", "Al"], "fractional_positions": [[0.000, 0.000, 0.000], [0.385, 0.500, 0.710], [0.615, 0.500, 0.290], [0.000, 0.000, 0.500]], "final_energy_ev_per_atom": -2.155}

Entry 7:
{"formula": "BaSrAl4", "functional": "PBE", "state": "optimized geometry", "lattice_angstrom": [[-2.447, 4.089, 3.957], [2.447, -4.089, 3.957], [2.447, 4.089, -3.957]], "species": ["Ba", "Sr", "Al", "Al", "Al", "Al"], "fractional_positions": [[0.000, 0.000, 0.000], [0.612, 0.112, 0.500], [0.049, 0.725, 0.325], [0.228, 0.405, 0.823], [0.400, 0.725, 0.675], [0.582, 0.405, 0.177]], "e_above_lowest_polymorph_mev_per_atom": 0}

Entry 8:
{"formula": "BaSr2Al", "functional": "PBE", "state": "optimized geometry", "lattice_angstrom": [[-2.069, 3.089, 6.879], [2.069, -3.089, 6.879], [2.069, 3.089, -6.879]], "species": ["Ba", "Sr", "Sr", "Al"], "fractional_positions": [[0.000, 0.000, 0.000], [0.306, 0.806, 0.500], [0.612, 0.612, 0.000], [0.800, 0.300, 0.500]], "final_energy_ev_per_atom": -2.242}

Entry 9:
{"formula": "BaSrAl", "functional": "PBE", "state": "optimized geometry", "lattice_angstrom": [[0.000, 5.773, 5.943], [3.707, 0.000, 5.943], [3.707, 5.773, 0.000]], "species": ["Ba", "Ba", "Sr", "Sr", "Al", "Al"], "fractional_positions": [[0.187, 0.813, 0.187], [0.813, 0.187, 0.813], [0.313, 0.313, 0.687], [0.687, 0.687, 0.313], [0.250, 0.250, 0.250], [0.750, 0.750, 0.750]], "e_above_lowest_polymorph_mev_per_atom": 43}

Entry 10:
{"formula": "BaSr2Al9", "functional": "PBE", "state": "optimized geometry", "lattice_angstrom": [[2.977, 1.719, 8.928], [-2.977, 1.719, 8.928], [0.000, -3.438, 8.928]], "species": ["Ba", "Sr", "Sr", "Al", "Al", "Al", "Al", "Al", "Al", "Al", "Al", "Al"], "fractional_positions": [[0.000, 0.000, 0.000], [0.141, 0.141, 0.141], [0.859, 0.859, 0.859], [0.071, 0.586, 0.586], [0.336, 0.336, 0.336], [0.414, 0.414, 0.929], [0.414, 0.929, 0.414], [0.500, 0.500, 0.500], [0.586, 0.071, 0.586], [0.586, 0.586, 0.071], [0.664, 0.664, 0.664], [0.929, 0.414, 0.414]], "final_energy_ev_per_atom": -3.453}

Entry 11:
{"formula": "BaSr2Al", "functional": "PBE", "state": "optimized geometry", "lattice_angstrom": [[2.119, 1.223, 12.118], [-2.119, 1.223, 12.118], [0.000, -2.447, 12.118]], "species": ["Ba", "Sr", "Sr", "Al"], "fractional_positions": [[0.000, 0.000, 0.000], [0.230, 0.230, 0.230], [0.770, 0.770, 0.770], [0.500, 0.500, 0.500]], "final_energy_ev_per_atom": -2.173}

Entry 12:
{"formula": "BaSr4Al", "functional": "PBE", "state": "optimized geometry", "lattice_angstrom": [[0.000, 5.351, 5.351], [5.351, 0.000, 5.351], [5.351, 5.351, 0.000]], "species": ["Ba", "Sr", "Sr", "Sr", "Sr", "Al"], "fractional_positions": [[0.000, 0.000, 0.000], [0.128, 0.624, 0.624], [0.624, 0.128, 0.624], [0.624, 0.624, 0.128], [0.624, 0.624, 0.624], [0.250, 0.250, 0.250]], "final_energy_ev_per_atom": -1.693}

Entry 13:
{"formula": "BaSr2Al", "functional": "PBE", "state": "optimized geometry", "lattice_angstrom": [[-3.071, 3.071, 4.312], [3.071, -3.071, 4.312], [3.071, 3.071, -4.312]], "species": ["Ba", "Sr", "Sr", "Al"], "fractional_positions": [[0.000, 0.000, 0.000], [0.250, 0.750, 0.500], [0.500, 0.500, 0.000], [0.750, 0.250, 0.500]], "final_energy_ev_per_atom": -2.185}

Entry 14:
{"formula": "BaSr2Al", "functional": "PBE", "state": "optimized geometry", "lattice_angstrom": [[2.875, 1.660, 6.442], [-2.875, 1.660, 6.442], [0.000, -3.320, 6.442]], "species": ["Ba", "Sr", "Sr", "Al"], "fractional_positions": [[0.000, 0.000, 0.000], [0.213, 0.213, 0.213], [0.451, 0.451, 0.451], [0.813, 0.813, 0.813]], "final_energy_ev_per_atom": -2.185}

Entry 15:
{"formula": "BaSrTa2Al", "functional": "PBE", "state": "optimized geometry", "lattice_angstrom": [[5.233, 0.000, 0.000], [0.000, 5.233, 0.000], [0.000, 0.000, 5.797]], "species": ["Ba", "Sr", "Ta", "Ta", "Al"], "fractional_positions": [[0.000, 0.000, 0.000], [0.000, 0.000, 0.500], [0.000, 0.500, 0.000], [0.500, 0.000, 0.000], [0.500, 0.500, 0.500]], "final_energy_ev_per_atom": -3.840}

Entry 16:
{"formula": "BaSr2AlTc", "functional": "PBE", "state": "optimized geometry", "lattice_angstrom": [[6.311, 0.000, 0.000], [0.000, 6.311, 0.000], [0.000, 0.000, 4.941]], "species": ["Ba", "Sr", "Sr", "Al", "Tc"], "fractional_positions": [[0.000, 0.000, 0.000], [0.000, 0.500, 0.000], [0.500, 0.000, 0.000], [0.500, 0.500, 0.500], [0.000, 0.000, 0.500]], "final_energy_ev_per_atom": -2.486}

Entry 17:
{"formula": "BaSrAl2Tc", "functional": "PBE", "state": "optimized geometry", "lattice_angstrom": [[5.832, 0.000, 0.000], [0.000, 5.832, 0.000], [0.000, 0.000, 5.196]], "species": ["Ba", "Sr", "Al", "Al", "Tc"], "fractional_positions": [[0.000, 0.000, 0.000], [0.500, 0.500, 0.500], [0.000, 0.500, 0.000], [0.500, 0.000, 0.000], [0.000, 0.000, 0.500]], "final_energy_ev_per_atom": -2.915}

Entry 18:
{"formula": "BaSr2Al3Zn6", "functional": "PBE", "state": "optimized geometry", "lattice_angstrom": [[4.403, 0.000, 0.000], [0.000, 4.403, 0.000], [0.000, 0.000, 14.527]], "species": ["Ba", "Sr", "Sr", "Al", "Al", "Al", "Zn", "Zn", "Zn", "Zn", "Zn", "Zn"], "fractional_positions": [[0.000, 0.000, 0.000], [0.000, 0.000, 0.376], [0.000, 0.000, 0.624], [0.500, 0.500, 0.100], [0.500, 0.500, 0.500], [0.500, 0.500, 0.900], [0.000, 0.500, 0.198], [0.000, 0.500, 0.802], [0.500, 0.000, 0.198], [0.500, 0.000, 0.802], [0.500, 0.500, 0.301], [0.500, 0.500, 0.699]], "final_energy_ev_per_atom": -2.180}

Entry 19:
{"formula": "Ba3Sr2Al2Zn4", "functional": "PBE", "state": "optimized geometry", "lattice_angstrom": [[4.538, 0.000, 0.000], [-2.269, 3.930, 0.000], [0.000, 0.000, 22.184]], "species": ["Ba", "Ba", "Ba", "Sr", "Sr", "Al", "Al", "Zn", "Zn", "Zn", "Zn"], "fractional_positions": [[0.000, 0.000, 0.000], [0.000, 0.000, 0.227], [0.000, 0.000, 0.773], [0.333, 0.667, 0.579], [0.667, 0.333, 0.421], [0.333, 0.667, 0.117], [0.667, 0.333, 0.883], [0.333, 0.667, 0.333], [0.333, 0.667, 0.884], [0.667, 0.333, 0.116], [0.667, 0.333, 0.667]], "final_energy_ev_per_atom": -2.060}

Entry 20:
{"formula": "BaSr2AlZn", "functional": "PBE", "state": "optimized geometry", "lattice_angstrom": [[6.179, 0.000, 0.000], [0.000, 6.179, 0.000], [0.000, 0.000, 5.058]], "species": ["Ba", "Sr", "Sr", "Al", "Zn"], "fractional_positions": [[0.000, 0.000, 0.000], [0.000, 0.500, 0.500], [0.500, 0.000, 0.500], [0.500, 0.500, 0.000], [0.500, 0.500, 0.500]], "final_energy_ev_per_atom": -2.019}

Entry 21:
{"formula": "Ba2TaAl", "functional": "PBE", "state": "optimized geometry", "lattice_angstrom": [[-2.416, 2.416, 5.258], [2.416, -2.416, 5.258], [2.416, 2.416, -5.258]], "species": ["Ba", "Ba", "Ta", "Al"], "fractional_positions": [[0.250, 0.750, 0.500], [0.750, 0.250, 0.500], [0.000, 0.000, 0.000], [0.500, 0.500, 0.000]], "final_energy_ev_per_atom": -3.972}

Entry 22:
{"formula": "BaTaAl3", "functional": "PBE", "state": "optimized geometry", "lattice_angstrom": [[5.333, 0.000, 0.000], [0.000, 5.333, 0.000], [0.000, 0.000, 5.333]], "species": ["Ba", "Ta", "Al", "Al", "Al"], "fractional_positions": [[0.000, 0.000, 0.000], [0.500, 0.500, 0.500], [0.000, 0.000, 0.500], [0.000, 0.500, 0.000], [0.500, 0.000, 0.000]], "e_above_lowest_polymorph_mev_per_atom": 2190}

Entry 23:
{"formula": "BaTaAl2", "functional": "PBE", "state": "optimized geometry", "lattice_angstrom": [[-2.210, 2.210, 4.807], [2.210, -2.210, 4.807], [2.210, 2.210, -4.807]], "species": ["Ba", "Ta", "Al", "Al"], "fractional_positions": [[0.000, 0.000, 0.000], [0.250, 0.750, 0.500], [0.500, 0.500, 0.000], [0.750, 0.250, 0.500]], "e_above_lowest_polymorph_mev_per_atom": 669}

Entry 24:
{"formula": "BaTaAl2", "functional": "PBE", "state": "optimized geometry", "lattice_angstrom": [[1.570, 0.907, 10.569], [-1.570, 0.907, 10.569], [0.000, -1.813, 10.569]], "species": ["Ba", "Ta", "Al", "Al"], "fractional_positions": [[0.000, 0.000, 0.000], [0.500, 0.500, 0.500], [0.237, 0.237, 0.237], [0.763, 0.763, 0.763]], "e_above_lowest_polymorph_mev_per_atom": 276}

Entry 25:
{"formula": "Ba3TaAl", "functional": "PBE", "state": "optimized geometry", "lattice_angstrom": [[6.101, 0.000, 0.000], [0.000, 6.101, 0.000], [0.000, 0.000, 6.101]], "species": ["Ba", "Ba", "Ba", "Ta", "Al"], "fractional_positions": [[0.000, 0.000, 0.500], [0.000, 0.500, 0.000], [0.500, 0.000, 0.000], [0.000, 0.000, 0.000], [0.500, 0.500, 0.500]], "final_energy_ev_per_atom": -3.264}

Entry 26:
{"formula": "BaTaAl2", "functional": "PBE", "state": "optimized geometry", "lattice_angstrom": [[3.094, 0.000, 0.000], [0.000, 4.018, 0.000], [0.000, 0.000, 7.527]], "species": ["Ba", "Ta", "Al", "Al"], "fractional_positions": [[0.000, 0.000, 0.000], [0.000, 0.000, 0.500], [0.500, 0.500, 0.324], [0.500, 0.500, 0.676]], "e_above_lowest_polymorph_mev_per_atom": 0}

Entry 27:
{"formula": "BaTaAl2", "functional": "PBE", "state": "optimized geometry", "lattice_angstrom": [[0.000, 3.558, 3.558], [3.558, 0.000, 3.558], [3.558, 3.558, 0.000]], "species": ["Ba", "Ta", "Al", "Al"], "fractional_positions": [[0.000, 0.000, 0.000], [0.250, 0.250, 0.250], [0.500, 0.500, 0.500], [0.750, 0.750, 0.750]], "e_above_lowest_polymorph_mev_per_atom": 767}

| no. | spin magnetization (μB per formula unit) | D(E_F) (states/eV per cell) |
| --- | --- | --- |
| 1 | 0.00 | 11.582 |
| 2 | 0.00 | 7.740 |
| 3 | 0.00 | 4.108 |
| 4 | 0.00 | 3.690 |
| 5 | 0.01 | 17.789 |
| 6 | 0.00 | 6.630 |
| 7 | 0.00 | 0.885 |
| 8 | 0.00 | 4.155 |
| 9 | 0.00 | 5.841 |
| 10 | 0.00 | 5.944 |
| 11 | 0.00 | 4.588 |
| 12 | 0.00 | 8.274 |
| 13 | 0.00 | 3.825 |
| 14 | 0.05 | 4.730 |
| 15 | 0.80 | 5.333 |
| 16 | 0.23 | 4.972 |
| 17 | 1.43 | 5.076 |
| 18 | 0.00 | 6.072 |
| 19 | 0.85 | 13.672 |
| 20 | 0.00 | 4.026 |
| 21 | 1.47 | 3.290 |
| 22 | 0.89 | 7.651 |
| 23 | 0.00 | 2.443 |
| 24 | 0.00 | 5.141 |
| 25 | 0.00 | 9.235 |
| 26 | 0.01 | 4.087 |
| 27 | 1.47 | 4.569 |